[1]
The following is a DFT calculation (PBE-GGA) of crystalline La2ZrMn at its relaxed geometry. Values from VASP.

For the total magnetic moment, the calculation gives 0.27 μB/atom. The relative energy among the computed polymorphs comes out at 73.1 kJ/mol of formula units. As for the formation energy: 1.39 eV/f.u. For the density, the calculation gives 6849 kg/m³. As for the space group: No. 71. The total energy is -6.547 eV per atom.

```
&SYSTEM
  ibrav = 0, nat = 4, ntyp = 3
/
ATOMIC_SPECIES
La 138.91 La.upf
Zr 91.22 Zr.upf
Mn 54.94 Mn.upf
ATOMIC_POSITIONS angstrom
La 1.7398 -4.5184 0.2276
La 0.1846 -0.4793 0.0241
Zr -1.2027 -3.2694 1.3772
Mn 1.7536 -2.1132 1.7325
CELL_PARAMETERS angstrom
-1.0319 -6.1540 -0.1035
4.8807 -3.8416 0.6070
-3.2979 4.6128 2.6062
```

***

[2]
The following is a DFT calculation (PBE-GGA) of crystalline La2ZrMn at its relaxed geometry. Values from VASP.

For the total magnetic moment, the calculation gives 0.72 μB/atom. The relative energy among the computed polymorphs comes out at 81.9 kJ/mol of formula units. As for the formation energy: 1.48 eV/f.u. For the density, the calculation gives 6347 kg/m³. As for the space group: No. 225. The total energy is -6.524 eV per atom.

```
&SYSTEM
  ibrav = 0, nat = 4, ntyp = 3
/
ATOMIC_SPECIES
La 138.91 La.upf
Mn 54.94 Mn.upf
Zr 91.22 Zr.upf
ATOMIC_POSITIONS angstrom
La 1.9067 1.9067 1.9067
La 5.7202 5.7202 5.7202
Mn 0.0000 0.0000 0.0000
Zr 3.8135 3.8135 3.8135
CELL_PARAMETERS angstrom
0.0000 3.8135 3.8135
3.8135 0.0000 3.8135
3.8135 3.8135 0.0000
```